[1]
## Cd3AgF (meta-GGA SCAN)

Data for a crystal of Cd3AgF relaxed with PBEsol.

Calculated values
DOS at the Fermi energy (states/eV/cell): 1.33
Total magnetic moment (μB per formula unit): 0.00
Calculated total energy (eV per atom): -25.34
Uncorrected formation energy (eV/atom): -0.109
Crystal system: cubic

abc: 5.159 5.159 5.159
angles: 90.00 90.00 90.00
Sites, in units of the cell vectors:
Cd (0.000, 0.000, 0.500)
Cd (0.000, 0.500, 0.000)
Cd (0.500, 0.000, 0.000)
Ag (0.000, 0.000, 0.000)
F (0.500, 0.500, 0.500)

***

[2]
## CaCdCl2 (meta-GGA SCAN)

Data for a crystal of CaCdCl2 relaxed with PBEsol.

Calculated values
DOS at the Fermi energy (states/eV/cell): 0.38
Energy above the most stable polymorph in this dataset (kJ/mol of atoms): 0.0
Total magnetic moment (μB per formula unit): 0.00
Calculated total energy (eV per atom): -15.64
Uncorrected formation energy (eV/atom): -1.629
Crystal system: tetragonal

abc: 3.387 3.387 9.161
angles: 90.00 90.00 90.00
Sites, in units of the cell vectors:
Ca (0.000, 0.000, 0.000)
Cd (0.000, 0.000, 0.500)
Cl (0.500, 0.500, 0.169)
Cl (0.500, 0.500, 0.831)

***

[3]
## K2P2PdO7 (meta-GGA SCAN)

Data for a crystal of K2P2PdO7 relaxed with PBEsol.

Calculated values
DOS at the Fermi energy (states/eV/cell): 0.00
Total magnetic moment (μB per formula unit): 0.00
Calculated total energy (eV per atom): -11.70
Uncorrected formation energy (eV/atom): -2.215
Crystal system: orthorhombic

abc: 9.269 7.009 10.930
angles: 90.00 90.00 90.00
Sites, in units of the cell vectors:
K (0.092, 0.250, 0.027)
K (0.149, 0.250, 0.467)
K (0.351, 0.750, 0.967)
K (0.408, 0.750, 0.527)
K (0.592, 0.250, 0.473)
K (0.649, 0.250, 0.033)
K (0.851, 0.750, 0.533)
K (0.908, 0.750, 0.973)
P (0.130, 0.535, 0.726)
P (0.130, 0.965, 0.726)
P (0.370, 0.035, 0.226)
P (0.370, 0.465, 0.226)
P (0.630, 0.535, 0.774)
P (0.630, 0.965, 0.774)
P (0.870, 0.035, 0.274)
P (0.870, 0.465, 0.274)
Pd (0.119, 0.750, 0.253)
Pd (0.381, 0.250, 0.753)
Pd (0.619, 0.750, 0.247)
Pd (0.881, 0.250, 0.747)
O (0.006, 0.548, 0.339)
O (0.006, 0.952, 0.339)
O (0.126, 0.537, 0.863)
O (0.126, 0.963, 0.863)
O (0.131, 0.750, 0.669)
O (0.231, 0.547, 0.166)
O (0.231, 0.953, 0.166)
O (0.269, 0.047, 0.666)
O (0.269, 0.453, 0.666)
O (0.369, 0.250, 0.169)
O (0.374, 0.037, 0.363)
O (0.374, 0.463, 0.363)
O (0.494, 0.048, 0.839)
O (0.494, 0.452, 0.839)
O (0.506, 0.548, 0.161)
O (0.506, 0.952, 0.161)
O (0.626, 0.537, 0.637)
O (0.626, 0.963, 0.637)
O (0.631, 0.750, 0.831)
O (0.731, 0.547, 0.334)
O (0.731, 0.953, 0.334)
O (0.769, 0.047, 0.834)
O (0.769, 0.453, 0.834)
O (0.869, 0.250, 0.331)
O (0.874, 0.037, 0.137)
O (0.874, 0.463, 0.137)
O (0.994, 0.048, 0.661)
O (0.994, 0.452, 0.661)

***

[4]
## Cs2CuF6 (meta-GGA SCAN)

Data for a crystal of Cs2CuF6 relaxed with PBEsol.

Calculated values
DOS at the Fermi energy (states/eV/cell): 6.32
Total magnetic moment (μB per formula unit): 1.00
Calculated total energy (eV per atom): -14.63
Uncorrected formation energy (eV/atom): -2.181
Crystal system: cubic

abc: 6.230 6.230 6.230
angles: 60.00 60.00 60.00
Sites, in units of the cell vectors:
Cs (0.250, 0.250, 0.250)
Cs (0.750, 0.750, 0.750)
Cu (0.000, 0.000, 0.000)
F (0.209, 0.209, 0.791)
F (0.209, 0.791, 0.209)
F (0.209, 0.791, 0.791)
F (0.791, 0.209, 0.209)
F (0.791, 0.209, 0.791)
F (0.791, 0.791, 0.209)